An optimized crystal structure of LaFeS2. Source: the Alexandria database, functional PBE.

Cell: 5.6445 5.6445 7.3397 Å, 67.39 67.39 90.00°
Fractional positions:
S: 0.1993 0.6250 0.2500
S: 0.8750 0.8007 0.7500
S: 0.5507 0.1250 0.2500
S: 0.3750 0.4493 0.7500
La: 0.0000 0.0000 0.0000
La: 0.7500 0.2500 0.5000
Fe: 0.5000 0.5000 0.0000
Fe: 0.2500 0.7500 0.5000

Output
Total moment, μB/f.u.: 3.000
Energy relative to the elements, uncorrected, eV/atom: -1.0153
E above lowest polymorph, meV/atom: 0.0
SG: I-42d
Uncorrected energy, eV per atom: -6.427
Crystal system: tetragonal